No. 1
Entry from Alexandria via LeMat-Bulk: Y3Tm2ThSe6 after structural relaxation (PBE-GGA).

The raw total energy is -6.41 eV/atom. As for the uncorrected formation energy: -1.684 eV per atom. The value obtained for the total magnetic moment is 0.000 μB/f.u.

The space group is C2/m (No. 12) and the conventional cell measures 17.744, 4.048 and 8.258 Å, with angles of 90.00, 101.73 and 90.00 degrees. The distinct sites, in fractional coordinates, are Y at (0.000, 0.000, 0.000), Y at (0.158, 0.500, 0.336), Tm at (0.164, 0.500, 0.831), Th at (0.000, 0.000, 0.500), Se at (0.005, 0.500, 0.763), Se at (0.170, 0.000, 0.082) and Se at (0.174, 0.000, 0.595).



No. 2
Entry from Alexandria via LeMat-Bulk: Th2U2Se7 after structural relaxation (PBE-GGA).

The raw total energy is -7.07 eV/atom. As for the uncorrected formation energy: -1.451 eV per atom. The value obtained for the total magnetic moment is 5.530 μB/f.u.

The space group is Imm2 (No. 44) and the conventional cell measures 4.119, 14.943 and 9.088 Å, with angles of 90.00, 90.00 and 90.00 degrees. The distinct sites, in fractional coordinates, are Th at (0.000, 0.241, 0.000), U at (0.000, 0.000, 0.764), U at (0.000, 0.500, 0.815), Se at (0.000, 0.000, 0.082), Se at (0.000, 0.109, 0.486), Se at (0.000, 0.319, 0.702) and Se at (0.000, 0.362, 0.310).



No. 3
Entry from Alexandria via LeMat-Bulk: Th3USe6 after structural relaxation (PBE-GGA).

The raw total energy is -6.93 eV/atom. As for the uncorrected formation energy: -1.488 eV per atom. The value obtained for the total magnetic moment is 2.972 μB/f.u.

The space group is P2_1/m (No. 11) and the conventional cell measures 11.468, 4.158 and 12.072 Å, with angles of 90.00, 105.81 and 90.00 degrees. The distinct sites, in fractional coordinates, are Th at (0.100, 0.250, 0.164), Th at (0.192, 0.750, 0.513), Th at (0.353, 0.250, 0.936), U at (0.457, 0.250, 0.302), Se at (0.023, 0.250, 0.381), Se at (0.088, 0.250, 0.916), Se at (0.262, 0.750, 0.293), Se at (0.301, 0.750, 0.759), Se at (0.389, 0.250, 0.545) and Se at (0.411, 0.750, 0.115).



No. 4
Entry from Alexandria via LeMat-Bulk: ThUSe3 after structural relaxation (PBE-GGA).

The energy above the most stable polymorph in this dataset is 13.7 meV/atom. The raw total energy is -7.08 eV/atom. As for the uncorrected formation energy: -1.250 eV per atom. The value obtained for the total magnetic moment is 1.057 μB/f.u.

The space group is C2/m (No. 12) and the conventional cell measures 11.856, 5.793 and 9.252 Å, with angles of 90.00, 122.69 and 90.00 degrees. The distinct sites, in fractional coordinates, are Th at (0.106, 0.000, 0.328), U at (0.114, 0.500, 0.030), Se at (0.088, 0.500, 0.350), Se at (0.138, 0.000, 0.667) and Se at (0.160, 0.000, 0.040).



No. 5
Entry from Alexandria via LeMat-Bulk: ThU5Se6 after structural relaxation (PBE-GGA).

The raw total energy is -8.15 eV/atom. As for the uncorrected formation energy: -1.084 eV per atom. The value obtained for the total magnetic moment is 13.655 μB/f.u.

The space group is C2/m (No. 12) and the conventional cell measures 7.439, 11.906 and 6.869 Å, with angles of 90.00, 107.97 and 90.00 degrees. The distinct sites, in fractional coordinates, are Th at (0.000, 0.000, 0.000), U at (0.000, 0.164, 0.500), U at (0.000, 0.334, 0.000), U at (0.000, 0.500, 0.500), Se at (0.245, 0.330, 0.745) and Se at (0.245, 0.500, 0.253).



No. 6
Entry from Alexandria via LeMat-Bulk: ThUSe2 after structural relaxation (PBE-GGA).

The energy above the most stable polymorph in this dataset is 0.0 meV/atom. The raw total energy is -7.69 eV/atom. As for the uncorrected formation energy: -1.273 eV per atom. The value obtained for the total magnetic moment is 2.742 μB/f.u.

The space group is R-3m (No. 166, hexagonal axes) and the conventional cell measures 4.0239, 4.0239 and 21.3620 Å, with angles of 90.00, 90.00 and 120.00 degrees. The distinct sites, in fractional coordinates, are Th at (0.0000, 0.0000, 0.0000), U at (0.0000, 0.0000, 0.5000) and Se at (0.0000, 0.0000, 0.2463).



No. 7
Entry from Alexandria via LeMat-Bulk: Th3U5Se12 after structural relaxation (PBE-GGA).

The raw total energy is -7.02 eV/atom. As for the uncorrected formation energy: -0.997 eV per atom. The value obtained for the total magnetic moment is 17.667 μB/f.u.

The space group is Ia-3d (No. 230) and the conventional cell measures 16.982, 16.982 and 16.982 Å, with angles of 90.00, 90.00 and 90.00 degrees. The distinct sites, in fractional coordinates, are Th at (0.000, 0.250, 0.125), U at (0.000, 0.000, 0.000), U at (0.000, 0.250, 0.375) and Se at (0.020, 0.074, 0.652).



No. 8
Entry from Alexandria via LeMat-Bulk: Th2U3Se8 after structural relaxation (PBE-GGA).

The raw total energy is -7.21 eV/atom. As for the uncorrected formation energy: -1.317 eV per atom. The value obtained for the total magnetic moment is 9.571 μB/f.u.

The space group is Cmmm (No. 65) and the conventional cell measures 9.872, 14.121 and 4.945 Å, with angles of 90.00, 90.00 and 90.00 degrees. The distinct sites, in fractional coordinates, are Th at (0.000, 0.241, 0.000), U at (0.000, 0.500, 0.000), U at (0.238, 0.000, 0.500), Se at (0.000, 0.125, 0.500), Se at (0.000, 0.380, 0.500) and Se at (0.243, 0.377, 0.000).



No. 9
Entry from Alexandria via LeMat-Bulk: ThUSe3 after structural relaxation (PBE-GGA).

The energy above the most stable polymorph in this dataset is 0.0 meV/atom. The raw total energy is -7.10 eV/atom. As for the uncorrected formation energy: -1.263 eV per atom. The value obtained for the total magnetic moment is 3.507 μB/f.u.

The space group is P2_1/m (No. 11) and the conventional cell measures 6.807, 7.266 and 6.916 Å, with angles of 90.00, 117.90 and 90.00 degrees. The distinct sites, in fractional coordinates, are Th at (0.184, 0.250, 0.168), U at (0.170, 0.750, 0.502), Se at (0.154, 0.000, 0.821) and Se at (0.500, 0.000, 0.500).



No. 10
Entry from Alexandria via LeMat-Bulk: ThUSe2 after structural relaxation (PBE-GGA).

The energy above the most stable polymorph in this dataset is 28.9 meV/atom. The raw total energy is -7.66 eV/atom. As for the uncorrected formation energy: -1.245 eV per atom. The value obtained for the total magnetic moment is 2.636 μB/f.u.

The space group is P4/mmm (No. 123) and the conventional cell measures 4.140, 4.140 and 5.866 Å, with angles of 90.00, 90.00 and 90.00 degrees. The distinct sites, in fractional coordinates, are Th at (0.000, 0.000, 0.000), U at (0.500, 0.500, 0.500), Se at (0.000, 0.000, 0.500) and Se at (0.500, 0.500, 0.000).



No. 11
Entry from Alexandria via LeMat-Bulk: ThU2Se4 after structural relaxation (PBE-GGA).

The raw total energy is -7.48 eV/atom. As for the uncorrected formation energy: -1.203 eV per atom. The value obtained for the total magnetic moment is 6.634 μB/f.u.

The space group is Cmcm (No. 63) and the conventional cell measures 3.997, 13.351 and 13.950 Å, with angles of 90.00, 90.00 and 90.00 degrees. The distinct sites, in fractional coordinates, are Th at (0.000, 0.114, 0.250), U at (0.000, 0.360, 0.061), Se at (0.000, 0.000, 0.000), Se at (0.000, 0.277, 0.630) and Se at (0.000, 0.451, 0.250).



No. 12
Entry from Alexandria via LeMat-Bulk: ThVSe4 after structural relaxation (PBE-GGA).

The raw total energy is -6.02 eV/atom. As for the uncorrected formation energy: -0.941 eV per atom. The value obtained for the total magnetic moment is 1.164 μB/f.u.

The space group is P2_1/c (No. 14) and the conventional cell measures 6.770, 6.938 and 6.492 Å, with angles of 90.00, 98.88 and 90.00 degrees. The distinct sites, in fractional coordinates, are Th at (0.000, 0.000, 0.000), V at (0.500, 0.000, 0.500), Se at (0.183, 0.153, 0.406) and Se at (0.334, 0.711, 0.268).